Record 1
The following is a DFT calculation (PBE-GGA) of a relaxed structure of BeTl2Br.

## Properties
As for the energy above the most stable polymorph in this dataset: 159 meV per atom. Its formation energy without anion corrections is 0.20 eV/atom. The value obtained for the calculated density is 8.1 g cm⁻³. The final energy is -2.337 eV/atom. As for the density of states at the Fermi level: 1.2 states/eV/f.u. For the total magnetization, the calculation gives 0.00 μB/f.u.

Unit cell a=3.9204 b=3.9204 c=7.9834 alpha=76.48 beta=76.48 gamma=60.26
Atoms (fractional coordinates):
Be: 0.2500 0.2500 0.2500
Tl: 0.9797 0.9797 0.0533
Tl: 0.5203 0.5203 0.4467
Br: 0.7500 0.7500 0.7500

---

Record 2
The following is a DFT calculation (PBE-GGA) of a relaxed structure of BeTl2Br.

## Properties
As for the energy above the most stable polymorph in this dataset: 352 meV per atom. Its formation energy without anion corrections is 0.39 eV/atom. The value obtained for the calculated density is 7.3 g cm⁻³. The final energy is -2.144 eV/atom. As for the density of states at the Fermi level: 3.6 states/eV/f.u. For the total magnetization, the calculation gives 0.00 μB/f.u.

Unit cell a=5.4330 b=5.4330 c=5.4330 alpha=60.00 beta=60.00 gamma=60.00
Atoms (fractional coordinates):
Be: 0.0000 0.0000 0.0000
Tl: 0.2500 0.2500 0.2500
Tl: 0.7500 0.7500 0.7500
Br: 0.5000 0.5000 0.5000

---

Among the records above, which one has the lowest final energy?
number 1

---

total magnetization of number 1 (BeTl2Br)?
0.00 μB/f.u.

---

The highest final energy belongs to which entry?
number 2